Entry 1:
Material: SrIn2NiGe
Method: DFT, GGA-PBE
State: optimized geometry

As for the density of states at the Fermi level: 3.3 states/eV/f.u. The energy of formation from the pure elements is -0.18 eV/atom. Its raw total energy is -0.13580 hartree per atom. The value obtained for the magnetic moment is 0.00 μB per formula unit.

Cell: 5.046 5.046 4.801 Å, 90.00 90.00 90.00°
Fractional positions:
Sr (0.000, 0.000, 0.000)
In (0.000, 0.500, 0.500)
In (0.500, 0.000, 0.500)
Ni (0.500, 0.500, 0.500)
Ge (0.500, 0.500, 0.000)

***

Entry 2:
Material: TbInNi5Ge2
Method: DFT, GGA-PBE
State: optimized geometry

As for the density of states at the Fermi level: 6.1 states/eV/f.u. The energy of formation from the pure elements is -0.17 eV/atom. Its raw total energy is -0.19219 hartree per atom. The value obtained for the magnetic moment is 0.00 μB per formula unit.

Cell: 4.325 4.325 7.505 Å, 90.00 90.00 90.00°
Fractional positions:
Tb (0.000, 0.000, 0.000)
In (0.000, 0.000, 0.500)
Ni (0.000, 0.500, 0.223)
Ni (0.000, 0.500, 0.777)
Ni (0.500, 0.000, 0.223)
Ni (0.500, 0.000, 0.777)
Ni (0.500, 0.500, 0.000)
Ge (0.500, 0.500, 0.335)
Ge (0.500, 0.500, 0.665)

***

Entry 3:
Material: Tb2InNi4Ge3
Method: DFT, GGA-PBE
State: optimized geometry

As for the density of states at the Fermi level: 5.4 states/eV/f.u. The energy of formation from the pure elements is -0.60 eV/atom. Its raw total energy is -0.20221 hartree per atom. The value obtained for the magnetic moment is 0.00 μB per formula unit.

Cell: 4.120 4.120 10.006 Å, 90.00 90.00 90.00°
Fractional positions:
Tb (0.000, 0.500, 0.237)
Tb (0.500, 0.000, 0.763)
In (0.000, 0.000, 0.500)
Ni (0.000, 0.000, 0.000)
Ni (0.000, 0.500, 0.647)
Ni (0.500, 0.000, 0.353)
Ni (0.500, 0.500, 0.000)
Ge (0.000, 0.500, 0.878)
Ge (0.500, 0.000, 0.122)
Ge (0.500, 0.500, 0.500)

***

Entry 4:
Material: InTcNiGe2
Method: DFT, GGA-PBE
State: optimized geometry

As for the density of states at the Fermi level: 4.0 states/eV/f.u. The energy of formation from the pure elements is 0.72 eV/atom. Its raw total energy is -0.18013 hartree per atom. The value obtained for the magnetic moment is 2.45 μB per formula unit.

Cell: 4.416 4.416 5.099 Å, 90.00 90.00 90.00°
Fractional positions:
In (0.000, 0.000, 0.000)
Tc (0.500, 0.500, 0.000)
Ni (0.000, 0.000, 0.500)
Ge (0.000, 0.500, 0.500)
Ge (0.500, 0.000, 0.500)

***

Entry 5:
Material: ThInNi5Ge2
Method: DFT, GGA-PBE
State: optimized geometry

As for the density of states at the Fermi level: 3.3 states/eV/f.u. The energy of formation from the pure elements is -0.20 eV/atom. Its raw total energy is -0.20473 hartree per atom. The value obtained for the magnetic moment is 0.00 μB per formula unit.

Cell: 4.370 4.370 7.611 Å, 90.00 90.00 90.00°
Fractional positions:
Th (0.000, 0.000, 0.000)
In (0.000, 0.000, 0.500)
Ni (0.000, 0.500, 0.225)
Ni (0.000, 0.500, 0.775)
Ni (0.500, 0.000, 0.225)
Ni (0.500, 0.000, 0.775)
Ni (0.500, 0.500, 0.000)
Ge (0.500, 0.500, 0.335)
Ge (0.500, 0.500, 0.665)

***

Entry 6:
Material: Th2InNi4Ge3
Method: DFT, GGA-PBE
State: optimized geometry

As for the density of states at the Fermi level: 5.6 states/eV/f.u. The energy of formation from the pure elements is -0.63 eV/atom. Its raw total energy is -0.22358 hartree per atom. The value obtained for the magnetic moment is 0.00 μB per formula unit.

Cell: 4.203 4.203 10.004 Å, 90.00 90.00 90.00°
Fractional positions:
Th (0.000, 0.500, 0.230)
Th (0.500, 0.000, 0.770)
In (0.000, 0.000, 0.500)
Ni (0.000, 0.000, 0.000)
Ni (0.000, 0.500, 0.642)
Ni (0.500, 0.000, 0.358)
Ni (0.500, 0.500, 0.000)
Ge (0.000, 0.500, 0.877)
Ge (0.500, 0.000, 0.123)
Ge (0.500, 0.500, 0.500)

***

Entry 7:
Material: Tm4InNi2Ge4
Method: DFT, GGA-PBE
State: optimized geometry

As for the density of states at the Fermi level: 3.6 states/eV/f.u. The energy of formation from the pure elements is -0.77 eV/atom. Its raw total energy is -0.19750 hartree per atom. The value obtained for the magnetic moment is 0.00 μB per formula unit.

Cell: 7.961 7.961 6.973 Å, 107.98 107.98 30.65°
Fractional positions:
Tm (0.092, 0.092, 0.393)
Tm (0.156, 0.156, 0.938)
Tm (0.844, 0.844, 0.062)
Tm (0.908, 0.908, 0.607)
In (0.500, 0.500, 0.000)
Ni (0.283, 0.283, 0.352)
Ni (0.717, 0.717, 0.648)
Ge (0.297, 0.297, 0.729)
Ge (0.435, 0.435, 0.336)
Ge (0.565, 0.565, 0.664)
Ge (0.703, 0.703, 0.271)

***

Entry 8:
Material: YInNi5Ge2
Method: DFT, GGA-PBE
State: optimized geometry

As for the density of states at the Fermi level: 5.9 states/eV/f.u. The energy of formation from the pure elements is -0.17 eV/atom. Its raw total energy is -0.19944 hartree per atom. The value obtained for the magnetic moment is 0.00 μB per formula unit.

Cell: 4.335 4.335 7.483 Å, 90.00 90.00 90.00°
Fractional positions:
Y (0.000, 0.000, 0.000)
In (0.000, 0.000, 0.500)
Ni (0.000, 0.500, 0.224)
Ni (0.000, 0.500, 0.776)
Ni (0.500, 0.000, 0.224)
Ni (0.500, 0.000, 0.776)
Ni (0.500, 0.500, 0.000)
Ge (0.500, 0.500, 0.334)
Ge (0.500, 0.500, 0.666)

***

Entry 9:
Material: Y2InNi4Ge3
Method: DFT, GGA-PBE
State: optimized geometry

As for the density of states at the Fermi level: 5.6 states/eV/f.u. The energy of formation from the pure elements is -0.60 eV/atom. Its raw total energy is -0.21566 hartree per atom. The value obtained for the magnetic moment is 0.00 μB per formula unit.

Cell: 4.114 4.114 10.019 Å, 90.00 90.00 90.00°
Fractional positions:
Y (0.000, 0.500, 0.238)
Y (0.500, 0.000, 0.762)
In (0.000, 0.000, 0.500)
Ni (0.000, 0.000, 0.000)
Ni (0.000, 0.500, 0.647)
Ni (0.500, 0.000, 0.353)
Ni (0.500, 0.500, 0.000)
Ge (0.000, 0.500, 0.878)
Ge (0.500, 0.000, 0.122)
Ge (0.500, 0.500, 0.500)

***

Entry 10:
Material: NpInGe
Method: DFT, GGA-PBE
State: optimized geometry

The calculation puts the energy above the lowest structure with this stoichiometry at 0.0 kJ/mol of formula units. As for the density of states at the Fermi level: 3.9 states/eV/f.u. The energy of formation from the pure elements is -0.05 eV/atom. Its raw total energy is -0.25044 hartree per atom. The value obtained for the magnetic moment is 1.28 μB per formula unit.

Cell: 7.456 7.456 3.723 Å, 90.00 90.00 142.03°
Fractional positions:
Np (0.056, 0.944, 0.750)
Np (0.944, 0.056, 0.250)
In (0.260, 0.740, 0.250)
In (0.740, 0.260, 0.750)
Ge (0.429, 0.571, 0.750)
Ge (0.571, 0.429, 0.250)

***

Entry 11:
Material: NpInGe
Method: DFT, GGA-PBE
State: optimized geometry

The calculation puts the energy above the lowest structure with this stoichiometry at 35.8 kJ/mol of formula units. As for the density of states at the Fermi level: 7.3 states/eV/f.u. The energy of formation from the pure elements is 0.07 eV/atom. Its raw total energy is -0.24589 hartree per atom. The value obtained for the magnetic moment is 4.37 μB per formula unit.

Cell: 5.090 5.090 2.970 Å, 90.00 90.00 120.00°
Fractional positions:
Np (0.000, 0.000, 0.000)
In (0.667, 0.333, 0.500)
Ge (0.333, 0.667, 0.500)

***

Entry 12:
Material: Np2InGe3Pd4
Method: DFT, GGA-PBE
State: optimized geometry

As for the density of states at the Fermi level: 20.6 states/eV/f.u. The energy of formation from the pure elements is -0.38 eV/atom. Its raw total energy is -0.24641 hartree per atom. The value obtained for the magnetic moment is 8.36 μB per formula unit.

Cell: 4.162 4.162 11.264 Å, 90.00 90.00 90.00°
Fractional positions:
Np (0.000, 0.500, 0.239)
Np (0.500, 0.000, 0.761)
In (0.000, 0.000, 0.500)
Ge (0.000, 0.500, 0.870)
Ge (0.500, 0.000, 0.130)
Ge (0.500, 0.500, 0.500)
Pd (0.000, 0.000, 0.000)
Pd (0.000, 0.500, 0.653)
Pd (0.500, 0.000, 0.347)
Pd (0.500, 0.500, 0.000)